*w*
First-principles (PBE) data for TlMo2P after structural relaxation, as listed in Alexandria via LeMat-Bulk.

Unit cell a=5.1875 b=5.1875 c=3.0121 alpha=77.39 beta=77.39 gamma=112.38
Fractional coordinates of all 4 atoms:
Tl 0.5000 0.5000 0.5000
Mo 0.0000 0.5000 0.0000
Mo 0.5000 0.0000 0.0000
P 0.0000 0.0000 0.5000

Values from the calculation:
Magnetization in μB/cell: 0.00

=====

*x*
First-principles (PBE) data for TlMo2P after structural relaxation, as listed in Alexandria via LeMat-Bulk.

Unit cell a=7.4499 b=7.4499 c=7.4499 alpha=156.18 beta=154.05 gamma=35.51
Fractional coordinates of all 4 atoms:
Tl 0.1936 0.6936 0.5000
P 0.4550 0.4550 0.0000
Mo 0.8371 0.3371 0.5000
Mo 0.0143 0.0143 0.0000

Values from the calculation:
Magnetization in μB/cell: 0.00

=====

*y*
First-principles (PBE) data for TlMo2P after structural relaxation, as listed in Alexandria via LeMat-Bulk.

Unit cell a=5.1091 b=5.1091 c=5.1091 alpha=141.88 beta=120.08 gamma=73.27
Fractional coordinates of all 4 atoms:
Mo 0.3020 0.3020 0.0000
Mo 0.6980 0.6980 0.0000
P 0.5000 0.0000 0.5000
Tl 0.0000 0.5000 0.5000

Values from the calculation:
Magnetization in μB/cell: 0.00

=====

*z*
First-principles (PBE) data for TlMo2P after structural relaxation, as listed in Alexandria via LeMat-Bulk.

Unit cell a=3.2202 b=3.2202 c=6.7619 alpha=90.00 beta=90.00 gamma=90.00
Fractional coordinates of all 4 atoms:
Mo 0.5000 0.5000 0.2822
Mo 0.0000 0.0000 0.0409
Tl 0.5000 0.5000 0.7508
P 0.0000 0.0000 0.4261

Values from the calculation:
Magnetization in μB/cell: 0.00

=====

We find *z* to be the most stable, with the next structure 0.040 eV/atom higher.

=====

*w*
First-principles (PBE) data for UMoP2 after structural relaxation, as listed in Alexandria via LeMat-Bulk.

Unit cell a=3.3996 b=3.3996 c=7.3018 alpha=76.54 beta=76.54 gamma=60.00
Last column: magnetic moment on the atom in μB.
Fractional coordinates of all 4 atoms:
U 0.6678 0.6678 0.9965  2.14
P 0.0960 0.0960 0.7120  -0.02
P 0.2377 0.2377 0.2868  -0.02
Mo 0.4984 0.4984 0.5047  0.04

Values from the calculation:
Magnetization in μB/cell: 2.38

=====

*x*
First-principles (PBE) data for UMoP2 after structural relaxation, as listed in Alexandria via LeMat-Bulk.

Unit cell a=2.9877 b=2.9877 c=9.4213 alpha=80.88 beta=80.88 gamma=60.00
Last column: magnetic moment on the atom in μB.
Fractional coordinates of all 4 atoms:
Mo 0.5000 0.5000 0.5000  -0.01
P 0.1027 0.1027 0.6920  -0.01
P 0.8973 0.8973 0.3080  -0.01
U 0.0000 0.0000 0.0000  2.00

Values from the calculation:
Magnetization in μB/cell: 2.17

=====

We find *w* to be the most stable, with the next structure 0.499 eV/atom higher.